The following is a GGA-PBE calculation of a relaxed structure of HgIrRu2, from Alexandria.

The structure belongs to space group Cm (No. 8); the cell edges are 9.258, 2.799 and 4.924 Å and the angles 90.00°, 99.83° and 90.00°. The distinct sites, in fractional coordinates, are Hg at (0.000, 0.000, 0.000), Ir at (0.239, 0.000, 0.724), Ru at (0.260, 0.500, 0.279) and Ru at (0.498, 0.000, 0.496).

Its formation energy is 426 meV/atom. The density of states at the Fermi level comes out at 10.250 states/eV per cell. The total energy is -52.0 eV/cell. The calculated volume is 126 Å³/cell.

The following is a GGA-PBE calculation of a relaxed structure of NaBPt, from Alexandria.

The structure belongs to space group C2/m (No. 12); the cell edges are 12.149, 3.107 and 5.741 Å and the angles 90.00°, 116.06° and 90.00°. The distinct sites, in fractional coordinates, are Na at (0.116, 0.000, 0.272), B at (0.221, 0.000, 0.926) and Pt at (0.106, 0.500, 0.718).

Its formation energy is -226 meV/atom. The density of states at the Fermi level comes out at 3.685 states/eV per cell. The total energy is -58.9 eV/cell. The calculated volume is 195 Å³/cell.

The following is a GGA-PBE calculation of a relaxed structure of MgTi2In, from Alexandria.

The structure belongs to space group I-42d (No. 122); the cell edges are 7.706, 7.706 and 5.512 Å and the angles 90.00°, 90.00° and 90.00°. The distinct sites, in fractional coordinates, are Mg at (0.000, 0.000, 0.000), Ti at (0.246, 0.250, 0.625) and In at (0.000, 0.000, 0.500).

Its formation energy is 416 meV/atom. The density of states at the Fermi level comes out at 19.320 states/eV per cell. The total energy is -73.8 eV/cell. The calculated volume is 327 Å³/cell.

The following is a GGA-PBE calculation of a relaxed structure of SrScBr4, from Alexandria.

The structure belongs to space group F-43m (No. 216); the cell edges are 9.137, 9.137 and 9.137 Å and the angles 90.00°, 90.00° and 90.00°. The distinct sites, in fractional coordinates, are Sr at (0.000, 0.000, 0.000), Sc at (0.250, 0.250, 0.250) and Br at (0.125, 0.125, 0.625).

The density of states at the Fermi level comes out at 51.267 states/eV per cell. The raw formation energy comes out at -0.220 eV/atom. The total energy is -64.1 eV/cell. The calculated volume is 763 Å³/cell.

The following is a GGA-PBE calculation of a relaxed structure of La2Pm5Er5, from Alexandria.

The structure belongs to space group C2/m (No. 12); the cell edges are 15.371, 5.082 and 11.435 Å and the angles 90.00°, 116.70° and 90.00°. The distinct sites, in fractional coordinates, are La at (0.082, 0.000, 0.251), Pm at (0.000, 0.000, 0.500), Pm at (0.166, 0.000, 0.000), Pm at (0.247, 0.000, 0.747), Er at (0.000, 0.500, 0.000), Er at (0.084, 0.500, 0.749) and Er at (0.167, 0.500, 0.501).

Its formation energy is 24 meV/atom. The density of states at the Fermi level comes out at 37.386 states/eV per cell. The total energy is -112.3 eV/cell. The calculated volume is 798 Å³/cell.

The following is a GGA-PBE calculation of a relaxed structure of LiLa2CuO, from Alexandria.

The structure belongs to space group P4/mmm (No. 123); the cell edges are 5.064, 5.064 and 3.969 Å and the angles 90.00°, 90.00° and 90.00°. The distinct sites, in fractional coordinates, are Li at (0.000, 0.000, 0.000), La at (0.000, 0.500, 0.500), Cu at (0.500, 0.500, 0.000) and O at (0.000, 0.000, 0.500).

The density of states at the Fermi level comes out at 5.330 states/eV per cell. The raw formation energy comes out at -1.147 eV/atom. The total energy is -26.6 eV/cell. The calculated volume is 102 Å³/cell.

The following is a GGA-PBE calculation of a relaxed structure of LiPa2VS6, from Alexandria.

The structure belongs to space group R3 (No. 146, hexagonal axes); the cell edges are 6.4734, 6.4734 and 18.1702 Å and the angles 90.00°, 90.00° and 120.00°. The distinct sites, in fractional coordinates, are Li at (0.0000, 0.0000, 0.0000), Pa at (0.0000, 0.0000, 0.3031), Pa at (0.0000, 0.0000, 0.8086), V at (0.0000, 0.0000, 0.4819), S at (0.0114, 0.3692, 0.2308) and S at (0.0321, 0.6779, 0.0680).

The density of states at the Fermi level comes out at 12.278 states/eV per cell. The raw formation energy comes out at -1.376 eV/atom. The total energy is -205.6 eV/cell. The calculated volume is 659 Å³/cell.

The following is a GGA-PBE calculation of a relaxed structure of SiSbOs2, from Alexandria.

The structure belongs to space group P2/m (No. 10); the cell edges are 3.095, 3.835 and 5.656 Å and the angles 90.00°, 104.52° and 90.00°. The distinct sites, in fractional coordinates, are Si at (0.000, 0.000, 0.000), Sb at (0.500, 0.000, 0.500) and Os at (0.143, 0.500, 0.779).

The density of states at the Fermi level comes out at 3.134 states/eV per cell. The raw formation energy comes out at 0.423 eV/atom. The total energy is -30.3 eV/cell. The value obtained for the energy above the most stable polymorph in this dataset is 0.255 eV per atom. The calculated volume is 65 Å³/cell.